The following is a GGA-PBE calculation of a relaxed structure of Ca2NdDyTe4, from Alexandria.

Summary:
Fermi-level density of states = 3.668 states/eV/f.u.
total magnetization = 0.00 μB/f.u.
ΔE_f (raw) = -1.4806 eV per atom

Unit cell a=7.6688 b=4.4244 c=7.8354 alpha=90.00 beta=109.05 gamma=90.00
Last column: nearest neighbours and their distance in Å.
Fractional coordinates of all 8 atoms:
Ca 0.0000 0.0000 0.0000  6 Te 3.18-3.19
Ca 0.5000 0.5000 0.0000  6 Te 3.13
Nd 0.0000 0.5000 0.5000  6 Te 3.18
Dy 0.5000 0.0000 0.5000  6 Te 3.13
Te 0.2564 0.5000 0.2522  2 Dy 3.13, 3 Ca 3.13-3.18, 1 Nd 3.18
Te 0.2569 0.0000 0.7521  3 Ca 3.13-3.19, 1 Dy 3.13, 2 Nd 3.18
Te 0.7431 0.0000 0.2479  3 Ca 3.13-3.19, 1 Dy 3.13, 2 Nd 3.18
Te 0.7436 0.5000 0.7478  2 Dy 3.13, 3 Ca 3.13-3.18, 1 Nd 3.18


The following is a GGA-PBE calculation of a relaxed structure of CaNdDyTh, from Alexandria.

Summary:
Fermi-level density of states = 8.303 states/eV/f.u.
total magnetization = 0.56 μB/f.u.
E_form = 22 kJ/mol of atoms

Unit cell a=5.7901 b=5.7901 c=5.7901 alpha=60.00 beta=60.00 gamma=60.00
Last column: nearest neighbours and their distance in Å.
Fractional coordinates of all 4 atoms:
Ca 0.0000 0.0000 0.0000  4 Dy 3.55, 4 Nd 3.55
Nd 0.2500 0.2500 0.2500  4 Th 3.55, 4 Ca 3.55
Dy 0.7500 0.7500 0.7500  4 Ca 3.55, 4 Th 3.55
Th 0.5000 0.5000 0.5000  4 Dy 3.55, 4 Nd 3.55


The following is a GGA-PBE calculation of a relaxed structure of CaNdDyTl, from Alexandria.

Summary:
Fermi-level density of states = 3.386 states/eV/f.u.
total magnetization = 0.00 μB/f.u.
E_form = -7 kJ/mol of atoms

Unit cell a=5.5773 b=5.5773 c=5.5773 alpha=60.00 beta=60.00 gamma=60.00
Last column: nearest neighbours and their distance in Å.
Fractional coordinates of all 4 atoms:
Ca 0.0000 0.0000 0.0000  4 Nd 3.42, 4 Dy 3.42
Nd 0.7500 0.7500 0.7500  4 Tl 3.42, 4 Ca 3.42
Dy 0.2500 0.2500 0.2500  4 Tl 3.42, 4 Ca 3.42
Tl 0.5000 0.5000 0.5000  4 Nd 3.42, 4 Dy 3.42


The following is a GGA-PBE calculation of a relaxed structure of CaNdDy2Tl4, from Alexandria.

Summary:
Fermi-level density of states = 5.211 states/eV/f.u.
total magnetization = 0.00 μB/f.u.
E_form = -36 kJ/mol of atoms

Unit cell a=9.4657 b=9.4657 c=9.4657 alpha=33.29 beta=33.29 gamma=33.29
Last column: nearest neighbours and their distance in Å.
Fractional coordinates of all 8 atoms:
Ca 0.0000 0.0000 0.0000  8 Tl 3.32-3.35
Nd 0.5000 0.5000 0.5000  8 Tl 3.33-3.36
Dy 0.2525 0.2525 0.2525  8 Tl 3.28-3.42
Dy 0.7475 0.7475 0.7475  8 Tl 3.28-3.42
Tl 0.1249 0.1249 0.1249  3 Nd 3.33, 4 Dy 3.35-3.42, 1 Ca 3.35
Tl 0.3748 0.3748 0.3748  4 Dy 3.28-3.30, 3 Ca 3.32, 1 Nd 3.36
Tl 0.6252 0.6252 0.6252  4 Dy 3.28-3.30, 3 Ca 3.32, 1 Nd 3.36
Tl 0.8751 0.8751 0.8751  3 Nd 3.33, 4 Dy 3.35-3.42, 1 Ca 3.35


The following is a GGA-PBE calculation of a relaxed structure of CaNdDyY, from Alexandria.

Summary:
Fermi-level density of states = 6.788 states/eV/f.u.
total magnetization = 0.00 μB/f.u.
E_form = 13 kJ/mol of atoms

Unit cell a=5.8047 b=5.8047 c=5.8047 alpha=60.00 beta=60.00 gamma=60.00
Last column: nearest neighbours and their distance in Å.
Fractional coordinates of all 4 atoms:
Ca 0.0000 0.0000 0.0000  4 Nd 3.55, 4 Y 3.55
Nd 0.7500 0.7500 0.7500  4 Dy 3.55, 4 Ca 3.55
Dy 0.5000 0.5000 0.5000  4 Nd 3.55, 4 Y 3.55
Y 0.2500 0.2500 0.2500  4 Dy 3.55, 4 Ca 3.55


The following is a GGA-PBE calculation of a relaxed structure of CaNd6DyY2, from Alexandria.

Summary:
Fermi-level density of states = 15.692 states/eV/f.u.
total magnetization = 0.00 μB/f.u.
E_form = 13 kJ/mol of atoms

Unit cell a=9.0543 b=9.0543 c=9.8513 alpha=94.03 beta=94.03 gamma=118.36
Last column: nearest neighbours and their distance in Å.
Fractional coordinates of all 20 atoms:
Ca 0.0971 0.9029 0.7500  6 Nd 3.58-3.66, 2 Y 3.65
Ca 0.9029 0.0971 0.2500  6 Nd 3.58-3.66, 2 Y 3.65
Nd 0.0070 0.7882 0.3782  3 Nd 3.25-3.44, 3 Y 3.35-3.52, 1 Ca 3.62
Nd 0.0685 0.5261 0.1778  2 Nd 3.25-3.55, 1 Y 3.55, 1 Ca 3.58
Nd 0.2118 0.9930 0.1218  3 Nd 3.25-3.44, 3 Y 3.35-3.52, 1 Ca 3.62
Nd 0.2657 0.6133 0.5541  4 Nd 3.44-3.79, 1 Y 3.48, 2 Dy 3.70-3.85
Nd 0.3867 0.7343 0.9459  4 Nd 3.44-3.79, 1 Y 3.48, 2 Dy 3.70-3.85
Nd 0.4739 0.9315 0.3222  2 Nd 3.25-3.55, 1 Y 3.55, 1 Ca 3.58
Nd 0.5261 0.0685 0.6778  2 Nd 3.25-3.55, 1 Y 3.55, 1 Ca 3.58
Nd 0.6133 0.2657 0.0541  4 Nd 3.44-3.79, 1 Y 3.48, 2 Dy 3.70-3.85
Nd 0.7343 0.3867 0.4459  4 Nd 3.44-3.79, 1 Y 3.48, 2 Dy 3.70-3.85
Nd 0.7882 0.0070 0.8782  3 Nd 3.25-3.44, 3 Y 3.35-3.52, 1 Ca 3.62
Nd 0.9315 0.4739 0.8222  2 Nd 3.25-3.55, 1 Y 3.55, 1 Ca 3.58
Nd 0.9930 0.2118 0.6218  3 Nd 3.25-3.44, 3 Y 3.35-3.52, 1 Ca 3.62
Dy 0.4706 0.5294 0.2500  4 Y 3.46-3.48, 6 Nd 3.65-3.85
Dy 0.5294 0.4706 0.7500  4 Y 3.46-3.48, 6 Nd 3.65-3.85
Y 0.2038 0.2998 0.9557  6 Nd 3.35-3.72, 2 Dy 3.46-3.48, 1 Ca 3.65
Y 0.2998 0.2038 0.4557  6 Nd 3.35-3.72, 2 Dy 3.46-3.48, 1 Ca 3.65
Y 0.7002 0.7962 0.5443  6 Nd 3.35-3.72, 2 Dy 3.46-3.48, 1 Ca 3.65
Y 0.7962 0.7002 0.0443  6 Nd 3.35-3.72, 2 Dy 3.46-3.48, 1 Ca 3.65


Q: Which formula does entry 6 have?
A: CaNd6DyY2


Q: Fermi-level density of states of number 5 (CaNdDyY)?
A: 6.788 states/eV/f.u.